Here is a relaxed structure of ScCuGe from Alexandria via LeMat-Bulk. Energies are from PBE-GGA.

Results
**Calculated density**: 5.7 Mg/m³
**Spin magnetization**: 0.00 μB/f.u.
**VASP energy**: -32.9 eV/cell
**Crystal system**: monoclinic

Cell lengths 7.436, 4.147, 4.145 Å; angles 120.02, 106.30, 90.00 degrees
Element x y z (fractional)
Cu (0.790, 0.303, 0.280)
Cu (0.414, 0.177, 0.029)
Ge (0.302, 0.473, 0.621)
Ge (0.827, 0.649, 0.972)
Sc (0.563, 0.893, 0.462)
Sc (0.053, 0.057, 0.789)

Here is a relaxed structure of Tb3Pr3In2 from Alexandria via LeMat-Bulk. Energies are from PBE-GGA.

Results
**Calculated density**: 7.7 Mg/m³
**Spin magnetization**: 0.00 μB/f.u.
**E above lowest polymorph**: 0 meV/atom
**VASP energy**: -35.8 eV/cell
**Crystal system**: orthorhombic

Cell lengths 4.912, 4.939, 9.976 Å; angles 90.00, 90.00, 90.00 degrees
Element x y z (fractional)
Tb (0.500, 0.500, 0.752)
Tb (0.500, 0.000, 0.000)
Tb (0.500, 0.500, 0.248)
Pr (0.500, 0.000, 0.500)
Pr (0.000, 0.500, 0.500)
Pr (0.000, 0.500, 0.000)
In (0.000, 0.000, 0.754)
In (0.000, 0.000, 0.246)

Here is a relaxed structure of SrSiHg2 from Alexandria via LeMat-Bulk. Energies are from PBE-GGA.

Results
**Calculated density**: 8.4 Mg/m³
**Spin magnetization**: 0.00 μB/f.u.
**ΔE_f (raw)**: -0.042 eV/atom
**VASP energy**: -7.9 eV/cell
**Crystal system**: tetragonal

Cell lengths 3.853, 3.853, 6.896 Å; angles 90.00, 90.00, 90.00 degrees
Element x y z (fractional)
Hg (0.000, 0.000, 0.032)
Hg (0.000, 0.000, 0.468)
Si (0.500, 0.500, 0.250)
Sr (0.500, 0.500, 0.750)

Here is a relaxed structure of PaFeH6Pd from Alexandria via LeMat-Bulk. Energies are from PBE-GGA.

Results
**Calculated density**: 9.1 Mg/m³
**Spin magnetization**: 0.27 μB/f.u.
**VASP energy**: -45.0 eV/cell
**Crystal system**: hexagonal

Cell lengths 4.504, 4.504, 4.151 Å; angles 90.00, 90.00, 60.00 degrees
Each line ends with the local moment (μB).
Element x y z (fractional)
H (0.483, 0.034, 0.221)  0.00
H (0.483, 0.483, 0.221)  0.00
H (0.483, 0.483, 0.779)  0.00
H (0.034, 0.483, 0.221)  0.00
H (0.483, 0.034, 0.779)  0.00
H (0.034, 0.483, 0.779)  0.00
Pd (0.667, 0.667, 0.500)  0.04
Pa (0.000, 0.000, 0.000)  -0.63
Fe (0.333, 0.333, 0.500)  1.02

Here is a relaxed structure of AsIr2W from Alexandria via LeMat-Bulk. Energies are from PBE-GGA.

Results
**Calculated density**: 17.5 Mg/m³
**Spin magnetization**: 0.00 μB/f.u.
**VASP energy**: -34.6 eV/cell
**Crystal system**: orthorhombic

Cell lengths 2.859, 4.639, 6.536 Å; angles 44.78, 90.00, 90.00 degrees
Element x y z (fractional)
W (0.500, 0.500, 0.500)
Ir (0.000, 0.000, 0.000)
Ir (0.500, 0.500, 0.000)
As (0.000, 0.000, 0.500)

Here is a relaxed structure of BaLiY2Pd from Alexandria via LeMat-Bulk. Energies are from PBE-GGA.

Results
**Calculated density**: 4.3 Mg/m³
**Spin magnetization**: 0.00 μB/f.u.
**VASP energy**: -22.7 eV/cell
**Crystal system**: tetragonal

Cell lengths 5.466, 5.466, 5.529 Å; angles 90.00, 90.00, 90.00 degrees
Element x y z (fractional)
Pd (0.000, 0.000, 0.000)
Y (0.500, 0.000, 0.000)
Y (0.000, 0.500, 0.000)
Li (0.000, 0.000, 0.500)
Ba (0.500, 0.500, 0.500)

Here is a relaxed structure of ZnNiP2Cl from Alexandria via LeMat-Bulk. Energies are from PBE-GGA.

Results
**Calculated density**: 2.9 Mg/m³
**Spin magnetization**: 0.00 μB/f.u.
**ΔE_f (raw)**: 0.384 eV/atom
**E above lowest polymorph**: 0 meV/atom
**VASP energy**: -17.8 eV/cell
**Crystal system**: tetragonal

Cell lengths 4.117, 4.117, 7.381 Å; angles 90.00, 90.00, 90.00 degrees
Element x y z (fractional)
Ni (0.000, 0.000, 0.000)
P (0.000, 0.500, 0.000)
P (0.500, 0.000, 0.000)
Zn (0.500, 0.500, 0.500)
Cl (0.000, 0.000, 0.500)

Here is a relaxed structure of MnCrOs3 from Alexandria via LeMat-Bulk. Energies are from PBE-GGA.

Results
**Calculated density**: 16.6 Mg/m³
**Spin magnetization**: 1.67 μB/f.u.
**E above lowest polymorph**: 34 meV/atom
**VASP energy**: -103.5 eV/cell
**Crystal system**: triclinic

Cell lengths 2.690, 6.249, 9.111 Å; angles 65.85, 90.04, 77.54 degrees
Each line ends with the local moment (μB).
Element x y z (fractional)
Os (0.167, 0.236, 0.975)  -0.07
Os (0.472, 0.626, 0.757)  -0.04
Os (0.217, 0.135, 0.302)  -0.04
Os (0.521, 0.525, 0.084)  -0.07
Os (0.762, 0.045, 0.582)  0.01
Os (0.926, 0.716, 0.478)  0.01
Cr (0.554, 0.460, 0.376)  -0.35
Cr (0.134, 0.301, 0.683)  -0.35
Mn (0.826, 0.918, 0.884)  2.08
Mn (0.862, 0.843, 0.175)  2.08

Here is a relaxed structure of LaCeSnPd from Alexandria via LeMat-Bulk. Energies are from PBE-GGA.

Results
**Calculated density**: 7.6 Mg/m³
**Spin magnetization**: 1.22 μB/f.u.
**VASP energy**: -22.4 eV/cell
**Crystal system**: cubic

Cell lengths 5.372, 5.372, 5.372 Å; angles 60.00, 60.00, 60.00 degrees
Each line ends with the local moment (μB).
Element x y z (fractional)
Ce (0.500, 0.500, 0.500)  0.92
Pd (0.750, 0.750, 0.750)  -0.02
La (0.000, 0.000, 0.000)  0.08
Sn (0.250, 0.250, 0.250)  -0.02

Here is a relaxed structure of SrLa2CdH from Alexandria via LeMat-Bulk. Energies are from PBE-GGA.

Results
**Calculated density**: 5.6 Mg/m³
**Spin magnetization**: 0.00 μB/f.u.
**E above lowest polymorph**: 0 meV/atom
**VASP energy**: -16.7 eV/cell
**Crystal system**: tetragonal

Cell lengths 5.086, 5.086, 5.446 Å; angles 90.00, 90.00, 90.00 degrees
Element x y z (fractional)
Cd (0.500, 0.500, 0.500)
H (0.000, 0.000, 0.000)
La (0.500, 0.000, 0.000)
La (0.000, 0.500, 0.000)
Sr (0.000, 0.000, 0.500)

Here is a relaxed structure of MgSi from Alexandria via LeMat-Bulk. Energies are from PBE-GGA.

Results
**Calculated density**: 2.2 Mg/m³
**Spin magnetization**: 0.00 μB/f.u.
**ΔE_f (raw)**: 0.032 eV/atom
**VASP energy**: -41.7 eV/cell
**Crystal system**: triclinic

Cell lengths 5.150, 5.471, 8.873 Å; angles 86.31, 97.11, 107.79 degrees
Element x y z (fractional)
Mg (0.155, 0.576, 0.196)
Mg (0.767, 0.636, 0.446)
Mg (0.532, 0.216, 0.171)
Mg (0.891, 0.959, 0.774)
Mg (0.360, 0.047, 0.553)
Mg (0.286, 0.541, 0.810)
Si (0.861, 0.158, 0.451)
Si (0.003, 0.027, 0.226)
Si (0.454, 0.077, 0.873)
Si (0.252, 0.522, 0.513)
Si (0.637, 0.761, 0.066)
Si (0.802, 0.479, 0.920)

Here is a relaxed structure of ZrAg3Hg from Alexandria via LeMat-Bulk. Energies are from PBE-GGA.

Results
**Calculated density**: 6.5 Mg/m³
**Spin magnetization**: 0.46 μB/f.u.
**E above lowest polymorph**: 1077 meV/atom
**VASP energy**: -12.0 eV/cell
**Crystal system**: cubic

Cell lengths 5.406, 5.406, 5.406 Å; angles 90.00, 90.00, 90.00 degrees
Each line ends with the local moment (μB).
Element x y z (fractional)
Ag (0.000, 0.000, 0.500)  0.00
Ag (0.000, 0.500, 0.000)  0.00
Ag (0.500, 0.000, 0.000)  0.02
Hg (0.500, 0.500, 0.500)  -0.01
Zr (0.000, 0.000, 0.000)  0.35

Here is a relaxed structure of Ti5NbAl8 from Alexandria via LeMat-Bulk. Energies are from PBE-GGA.

Results
**Calculated density**: 3.8 Mg/m³
**Spin magnetization**: 0.00 μB/f.u.
**VASP energy**: -81.6 eV/cell
**Crystal system**: tetragonal

Cell lengths 6.767, 6.767, 6.767 Å; angles 110.23, 107.96, 110.23 degrees
Element x y z (fractional)
Ti (0.901, 0.927, 0.203)
Ti (0.025, 0.302, 0.099)
Ti (0.797, 0.698, 0.723)
Ti (0.277, 0.073, 0.975)
Ti (0.500, 0.000, 0.500)
Al (0.641, 0.404, 0.918)
Al (0.363, 0.296, 0.422)
Al (0.513, 0.596, 0.237)
Al (0.933, 0.059, 0.637)
Al (0.126, 0.704, 0.067)
Al (0.578, 0.941, 0.874)
Al (0.082, 0.724, 0.487)
Al (0.763, 0.276, 0.359)
Nb (0.250, 0.500, 0.750)